VASP calculation (PBE) on a relaxed structure of SrPm5Zn4.

a b c (Å): 3.7317 3.7317 20.1019
angles (deg): 90.00 90.00 90.00
With the nearest neighbours (Å) after each atom.
Space group P4/mmm (No. 123)
Symmetry-distinct sites (fractional):
Sr  0.0000  0.0000  0.0000 x1  4 Sr 3.73, 8 Pm 4.01
Pm  0.5000  0.5000  0.1503 x2  4 Zn 3.12, 1 Pm 3.48
Pm  0.5000  0.5000  0.3236 x2  8 Zn 3.18-3.20, 2 Pm 3.48-3.55
Pm  0.5000  0.5000  0.5000 x1  8 Zn 3.18, 2 Pm 3.55
Zn  0.0000  0.0000  0.2334 x2  8 Pm 3.12-3.20
Zn  0.0000  0.0000  0.4121 x2  8 Pm 3.18, 1 Zn 3.53

Density of states at the Fermi level   1.551 states/eV per atom
Energy relative to the elements   -0.21 eV per atom
Spin magnetization   0.020 μB/f.u.